Record 1
TmSc5Hg3 after structural relaxation, computed with GGA-PBE.

Unit cell a=8.5933 b=8.5933 c=6.4937 alpha=90.00 beta=90.00 gamma=120.00
Space group P6_3/mcm (No. 193)
Symmetry-distinct sites (fractional):
Tm: 0.0000 0.0000 0.0000
Sc: 0.0000 0.3393 0.2500
Sc: 0.3333 0.6667 0.0000
Hg: 0.0000 0.3318 0.7500

* D(E_F): 0.4633 states/eV/atom
* formation energy from the elements: -0.32 eV/atom
* spin magnetization: 0.000 μB/f.u.


Record 2
SnPPt2 after structural relaxation, computed with GGA-PBE.

Unit cell a=4.8986 b=4.8986 c=14.1333 alpha=90.00 beta=90.00 gamma=90.00
Space group I-42d (No. 122)
Symmetry-distinct sites (fractional):
Sn: 0.0000 0.0000 0.0000
P: 0.0000 0.0000 0.5000
Pt: 0.1712 0.2500 0.6250

* D(E_F): 0.3970 states/eV/atom
* formation energy from the elements: -0.39 eV/atom
* spin magnetization: 0.000 μB/f.u.


Record 3
Y5SnRu2 after structural relaxation, computed with GGA-PBE.

Unit cell a=7.7160 b=7.7160 c=13.7227 alpha=90.00 beta=90.00 gamma=90.00
Space group I4/mcm (No. 140)
Symmetry-distinct sites (fractional):
Y: 0.0000 0.0000 0.0000
Y: 0.1603 0.3397 0.1341
Sn: 0.0000 0.0000 0.2500
Ru: 0.1387 0.3613 0.5000

* D(E_F): 1.0635 states/eV/atom
* formation energy from the elements: -0.47 eV/atom
* spin magnetization: 0.000 μB/f.u.


Record 4
PuPaGaPd after structural relaxation, computed with GGA-PBE.

Unit cell a=4.8451 b=4.8451 c=4.8369 alpha=90.00 beta=90.00 gamma=120.00
Space group P3m1 (No. 156)
Symmetry-distinct sites (fractional):
Pu: 0.0000 0.0000 0.0000
Pa: 0.3333 0.6667 0.2386
Ga: 0.6667 0.3333 0.8895
Pd: 0.6667 0.3333 0.4016

* D(E_F): 1.7315 states/eV/atom
* polymorph energy (0 for the lowest one): 355 meV per atom
* formation energy from the elements: 0.03 eV/atom
* spin magnetization: 6.919 μB/f.u.


Record 5
LaZrGaAg after structural relaxation, computed with GGA-PBE.

Unit cell a=7.2265 b=7.2265 c=7.2265 alpha=90.00 beta=90.00 gamma=90.00
Space group F-43m (No. 216)
Symmetry-distinct sites (fractional):
La: 0.0000 0.0000 0.0000
Zr: 0.0000 0.0000 0.5000
Ga: 0.2500 0.2500 0.7500
Ag: 0.2500 0.2500 0.2500

* D(E_F): 0.9587 states/eV/atom
* formation energy from the elements: -0.20 eV/atom
* spin magnetization: 0.650 μB/f.u.


Record 6
AsPtW2 after structural relaxation, computed with GGA-PBE.

Unit cell a=2.7938 b=4.1642 c=5.6627 alpha=90.00 beta=104.19 gamma=90.00
Space group P2/m (No. 10)
Symmetry-distinct sites (fractional):
As: 0.0000 0.0000 0.0000
Pt: 0.5000 0.0000 0.5000
W: 0.1074 0.5000 0.7531

* D(E_F): 0.8258 states/eV/atom
* formation energy from the elements: 0.17 eV/atom
* spin magnetization: 0.000 μB/f.u.


Which of these has the highest spin magnetization? PuPaGaPd